! CsAcVF6 GGA+U optimized geometry; values from VASP
! Space group: Imma
! V (Å³/atom): 19.6
! E_tot (eV/atom): -5.981
! Spin magnetization (μB per formula unit): 3.00
&SYSTEM
  ibrav = 0, nat = 18, ntyp = 4
/
ATOMIC_SPECIES
Cs 132.91 Cs.upf
Ac 227.00 Ac.upf
V 50.94 V.upf
F 19.00 F.upf
CELL_PARAMETERS angstrom
-3.875 4.216 5.386
3.875 -4.216 5.386
3.875 4.216 -5.386
ATOMIC_POSITIONS angstrom
Cs 0.000 2.108 0.915
Cs 3.875 2.108 4.471
Ac 3.875 0.000 0.000
Ac 0.000 0.000 5.386
V 1.937 2.108 -2.693
V 1.937 -2.108 2.693
F 1.793 -0.566 1.255
F 5.956 -0.566 1.255
F 3.875 2.108 -1.769
F 1.793 3.650 -1.255
F 2.081 -0.566 4.131
F 3.875 2.108 1.269
F 0.000 2.108 4.117
F 1.793 4.781 1.255
F 2.081 0.566 6.641
F 0.000 2.108 7.156
F -2.081 4.781 4.131
F 2.081 4.781 4.131